(1)
# Ho2Er2Al

A relaxed structure of Ho2Er2Al (PBE-GGA, the Alexandria database).

```
Ho2Er2Al
1.0
-2.103 2.103 8.630
2.103 -2.103 8.630
2.103 2.103 -8.630
Ho Er Al
2 2 1
direct
0.250 0.750 0.500 Ho
0.750 0.250 0.500 Ho
0.088 0.088 0.000 Er
0.912 0.912 0.000 Er
0.500 0.500 0.000 Al
```

Computed properties:
- Energy relative to the lowest polymorph listed for this composition: 2.76 eV per formula unit
- Space-group type: I4/mmm, No. 139
- Crystal system: tetragonal


(2)
# HoEr3Al2

A relaxed structure of HoEr3Al2 (PBE-GGA, the Alexandria database).

```
HoEr3Al2
1.0
5.056 0.000 0.000
0.000 9.384 0.000
0.000 0.000 6.506
Ho Er Al
2 6 4
direct
0.000 0.040 0.000 Ho
0.000 0.960 0.500 Ho
0.000 0.322 0.656 Er
0.000 0.678 0.156 Er
0.500 0.179 0.286 Er
0.500 0.459 0.942 Er
0.500 0.541 0.442 Er
0.500 0.821 0.786 Er
0.000 0.354 0.178 Al
0.000 0.646 0.678 Al
0.500 0.146 0.764 Al
0.500 0.854 0.264 Al
```

Computed properties:
- Energy relative to the lowest polymorph listed for this composition: 0.00 eV per formula unit
- Space-group type: Pmc2_1, No. 26
- Crystal system: orthorhombic


(3)
# Ho3Er3Al2

A relaxed structure of Ho3Er3Al2 (PBE-GGA, the Alexandria database).

```
Ho3Er3Al2
1.0
2.546 -5.754 0.000
2.546 5.754 0.000
0.000 0.000 15.030
Ho Er Al
6 6 4
direct
0.041 0.959 0.750 Ho
0.149 0.851 0.028 Ho
0.149 0.851 0.472 Ho
0.851 0.149 0.528 Ho
0.851 0.149 0.972 Ho
0.959 0.041 0.250 Ho
0.243 0.757 0.250 Er
0.462 0.538 0.106 Er
0.462 0.538 0.394 Er
0.538 0.462 0.606 Er
0.538 0.462 0.894 Er
0.757 0.243 0.750 Er
0.279 0.721 0.650 Al
0.279 0.721 0.850 Al
0.721 0.279 0.150 Al
0.721 0.279 0.350 Al
```

Computed properties:
- DFT total energy: -4.478 eV per atom
- Space-group type: Cmcm, No. 63
- Crystal system: orthorhombic


(4)
# Ho8Er2Al

A relaxed structure of Ho8Er2Al (PBE-GGA, the Alexandria database).

```
Ho8Er2Al
1.0
9.499 -2.717 0.000
9.499 2.717 0.000
-0.441 0.000 6.347
Ho Er Al
8 2 1
direct
0.043 0.043 0.254 Ho
0.155 0.155 0.810 Ho
0.342 0.342 0.878 Ho
0.422 0.422 0.398 Ho
0.578 0.578 0.602 Ho
0.658 0.658 0.122 Ho
0.845 0.845 0.190 Ho
0.957 0.957 0.746 Ho
0.241 0.241 0.334 Er
0.759 0.759 0.666 Er
0.500 0.500 0.000 Al
```

Computed properties:
- DFT total energy: -4.541 eV per atom
- Space-group type: C2/m, No. 12
- Crystal system: monoclinic